Mg2Tc3P4: optimized geometry, PBE-GGA.

Computed properties:
Symmetry: P2_1/c (14)
Energy of formation from the pure elements, eV/atom: -0.4724
Crystal system: monoclinic

Cell lengths 6.507, 6.543, 6.712 Å; angles 90.00, 112.37, 90.00 degrees
Sites, in units of the cell vectors:
Mg 0.185 0.181 0.048
Mg 0.185 0.319 0.548
Mg 0.815 0.681 0.452
Mg 0.815 0.819 0.952
Tc 0.236 0.620 0.261
Tc 0.236 0.880 0.761
Tc 0.500 0.000 0.500
Tc 0.500 0.500 0.000
Tc 0.764 0.120 0.239
Tc 0.764 0.380 0.739
P 0.100 0.572 0.860
P 0.100 0.928 0.360
P 0.481 0.652 0.641
P 0.481 0.848 0.141
P 0.519 0.152 0.859
P 0.519 0.348 0.359
P 0.900 0.072 0.640
P 0.900 0.428 0.140

Sc2Sn2Te: optimized geometry, PBE-GGA.

Computed properties:
Formation energy (no corrections), eV/atom: -0.563
Symmetry: I4/mmm (139)
Crystal system: tetragonal
Energy above the most stable polymorph in this dataset, meV per atom: 69

Cell lengths 4.075, 4.075, 15.401 Å; angles 90.00, 90.00, 90.00 degrees
Sites, in units of the cell vectors:
Sc 0.000 0.000 0.101
Sc 0.000 0.000 0.899
Sc 0.500 0.500 0.399
Sc 0.500 0.500 0.601
Sn 0.000 0.500 0.250
Sn 0.000 0.500 0.750
Sn 0.500 0.000 0.250
Sn 0.500 0.000 0.750
Te 0.000 0.000 0.500
Te 0.500 0.500 0.000

KLaRe2: optimized geometry, PBE-GGA.

Computed properties:
Symmetry: C2/m (12)
Energy of formation from the pure elements, eV/atom: 0.8833
Crystal system: monoclinic
Energy above the most stable polymorph in this dataset, meV per atom: 378

Cell lengths 10.900, 3.790, 7.716 Å; angles 90.00, 115.56, 90.00 degrees
Sites, in units of the cell vectors:
K 0.000 0.000 0.000
K 0.500 0.500 0.000
La 0.000 0.500 0.500
La 0.500 0.000 0.500
Re 0.241 0.500 0.404
Re 0.259 0.000 0.596
Re 0.741 0.000 0.404
Re 0.759 0.500 0.596

Tb3CeHo6Tm2: optimized geometry, PBE-GGA.

Computed properties:
Symmetry: C2/m (12)
Energy of formation from the pure elements, eV/atom: 0.0351
Crystal system: monoclinic

Cell lengths 6.109, 6.109, 11.697 Å; angles 94.99, 94.99, 119.97 degrees
Sites, in units of the cell vectors:
Tb 0.000 0.000 0.000
Tb 0.332 0.668 0.000
Tb 0.668 0.332 0.000
Ce 0.500 0.500 0.500
Ho 0.085 0.417 0.251
Ho 0.252 0.252 0.749
Ho 0.417 0.085 0.251
Ho 0.583 0.915 0.749
Ho 0.748 0.748 0.251
Ho 0.915 0.583 0.749
Tm 0.167 0.833 0.500
Tm 0.833 0.167 0.500